Material: U4CrGa12
Method: DFT, PBE
State: relaxed

```
U4CrGa12
1.0
-3.237 -4.991 -4.462
0.243 -2.666 6.938
-3.921 6.318 -0.091
Ga U Cr
12 4 1
direct
0.000 0.291 0.291
0.709 0.709 0.000
0.500 0.750 0.250
0.291 0.000 0.291
0.500 0.250 0.750
0.709 0.000 0.709
0.750 0.500 0.250
0.000 0.709 0.709
0.250 0.500 0.750
0.750 0.250 0.500
0.250 0.750 0.500
0.291 0.291 0.000
0.500 0.000 0.000
0.000 0.000 0.500
0.000 0.500 0.000
0.500 0.500 0.500
0.000 0.000 0.000
```

Computed properties:
* DOS at the Fermi energy: 25.5 states/eV per cell
* total magnetic moment: 6.312 μB per formula unit
* energy of formation: -212 meV/atom